(1)
Compound: LuUFe
Source: OQMD
Functional: PBE
Structure: relaxed

ΔE_f (eV/atom): 0.4827
Total moment (μB per cell): 0.003
Volume (A^3/atom): 21.379

The structure in extended XYZ format:
```
3
Lattice="0.0000 3.1771 3.1771 3.1771 0.0000 3.1771 3.1771 3.1771 0.0000" Properties=species:S:1:pos:R:3 pbc="T T T"
Fe 0.0000 0.0000 0.0000
Lu 4.7656 4.7656 4.7656
U 1.5885 1.5885 1.5885
```

***

(2)
Compound: DyGaBr
Source: OQMD
Functional: PBE
Structure: relaxed

Total moment (μB per cell): 0.009
Total DFT energy (no corrections) (eV/cell): -25.89
Volume (A^3/atom): 27.969

The structure in extended XYZ format:
```
6
Lattice="-1.3838 3.8256 0.6716 -1.2093 2.3416 -3.1711 -9.7105 -6.1641 1.9394" Properties=species:S:1:pos:R:3 pbc="T T T"
Br -3.4790 3.3995 -1.4708
Br -8.8246 -3.3964 0.9108
Dy -4.2507 0.7229 -0.4722
Dy -8.0529 -0.7198 -0.0878
Ga -4.9658 -1.9322 0.5206
Ga -7.3378 1.9353 -1.0807
```

***

(3)
Compound: KTcAsO
Source: OQMD
Functional: PBE
Structure: relaxed

Total moment (μB per cell): 0.001
Total DFT energy (no corrections) (eV/cell): -46.73
Volume (A^3/atom): 20.371

The structure in extended XYZ format:
```
8
Lattice="3.8070 0.0000 0.0000 0.0000 5.4543 0.0000 0.0000 0.0000 7.8484" Properties=species:S:1:pos:R:3 pbc="T T T"
As 0.0000 4.5602 2.0545
As 0.0000 0.8941 5.9787
K 1.9035 1.7431 0.7613
K 1.9035 3.7112 4.6855
O 1.9035 1.1930 3.4831
O 1.9035 4.2613 7.4073
Tc 0.0000 1.0079 3.5430
Tc 0.0000 4.4464 7.4672
```

***

(4)
Compound: LaNdSi2
Source: OQMD
Functional: PBE
Structure: relaxed

Total moment (μB per cell): 0.027
Total DFT energy (no corrections) (eV/cell): -44.76
Volume (A^3/atom): 26.500

The structure in extended XYZ format:
```
8
Lattice="-3.6084 1.4572 4.0267 -2.3126 -2.8739 -1.0323 4.6841 -6.0251 6.2803" Properties=species:S:1:pos:R:3 pbc="T T T"
La -3.5030 -2.7197 4.7587
La 2.2661 -4.7220 4.5160
Nd -1.3430 -0.9731 2.1642
Nd 0.1061 -6.4686 7.1104
Si -3.5628 0.3054 3.5777
Si -0.1704 -2.6615 4.2377
Si -1.0665 -4.7802 5.0370
Si 2.3259 -7.7471 5.6970
```

***

(5)
Compound: PuNbOs
Source: OQMD
Functional: PBE
Structure: relaxed

ΔE_f (eV/atom): 0.7360
Total moment (μB per cell): 3.979
Volume (A^3/atom): 20.083

The structure in extended XYZ format:
```
3
Lattice="1.9428 -3.9247 0.4302 -1.2762 -2.7488 3.1904 -2.2072 -3.6702 -1.0105" Properties=species:S:1:pos:R:3 pbc="T T T"
Nb -0.3851 -2.5859 0.6525
Os -1.1554 -7.7578 1.9576
Pu 0.0000 0.0000 0.0000
```

***

(6)
Compound: KRbAgP
Source: OQMD
Functional: PBE
Structure: relaxed

Total DFT energy (no corrections) (eV/cell): -23.20
Volume (A^3/atom): 30.418

The structure in extended XYZ format:
```
8
Lattice="-0.6171 -5.8741 -2.3451 5.9759 -0.1039 -1.3123 1.3582 -0.8917 6.2554" Properties=species:S:1:pos:R:3 pbc="T T T"
Ag -0.3085 -2.9371 -1.1725
Ag 2.6794 -2.9890 -1.8287
K 4.9312 -2.3383 1.2406
K 1.7858 -4.5313 1.3574
P 4.3731 -4.6423 -1.1184
P 2.3439 -2.2273 3.7164
Rb 1.7292 -0.4044 0.7732
Rb 4.9878 -6.4653 1.8248
```

***

(7)
Compound: CsLiReIr
Source: OQMD
Functional: PBE
Structure: relaxed

Total moment (μB per cell): 0.627
Total DFT energy (no corrections) (eV/cell): -16.14
Volume (A^3/atom): 17.773

The structure in extended XYZ format:
```
4
Lattice="0.0000 3.2880 3.2880 3.2880 0.0000 3.2880 3.2880 3.2880 0.0000" Properties=species:S:1:pos:R:3 pbc="T T T"
Cs 1.6440 1.6440 1.6440
Ir 0.0000 0.0000 0.0000
Li 4.9320 4.9320 4.9320
Re 3.2880 3.2880 3.2880
```

***

(8)
Compound: NaBeSbPt
Source: OQMD
Functional: PBE
Structure: relaxed

Total moment (μB per cell): 0.002
Total DFT energy (no corrections) (eV/cell): -15.27
Volume (A^3/atom): 16.727

The structure in extended XYZ format:
```
4
Lattice="0.7477 0.0432 4.4948 -3.5177 -0.0716 2.8957 -0.8309 -3.7289 2.4839" Properties=species:S:1:pos:R:3 pbc="T T T"
Be -2.7006 -2.8179 7.4058
Na 0.0000 0.0000 0.0000
Pt -1.8004 -1.8786 4.9372
Sb -0.9002 -0.9393 2.4686
```

***

(9)
Compound: Lu3ZrTe2C2
Source: OQMD
Functional: PBE
Structure: relaxed

Total moment (μB per cell): 0.004
Total DFT energy (no corrections) (eV/cell): -53.78
Volume (A^3/atom): 19.996

The structure in extended XYZ format:
```
8
Lattice="-1.3243 -3.1927 1.2577 2.0197 0.0704 -3.0733 11.3311 -1.7827 7.4057" Properties=species:S:1:pos:R:3 pbc="T T T"
C 0.0733 -0.0115 0.0479
C 5.6443 -0.8880 3.6889
Lu 5.5256 -1.7443 1.3903
Lu 6.5008 -3.1608 4.1998
Lu 10.1085 -3.7284 6.5577
Te 2.5363 -2.5370 1.6088
Te 9.4272 -2.3581 3.9403
Zr 1.9288 -1.1784 -0.9605
```

***

(10)
Compound: PrTlO3
Source: OQMD
Functional: PBE
Structure: relaxed

Total moment (μB per cell): 0.002
Total DFT energy (no corrections) (eV/cell): -125.61
Volume (A^3/atom): 15.939

The structure in extended XYZ format:
```
20
Lattice="-0.4539 -0.1278 5.9790 -5.4623 -2.6054 -0.4704 3.7611 -7.9062 0.1166" Properties=species:S:1:pos:R:3 pbc="T T T"
O -1.8438 -1.5776 3.7957
O -4.6568 -2.9033 4.6394
O -1.1492 -2.9608 0.6893
O -3.9806 -4.2917 1.7744
O -0.5500 -4.2972 3.8358
O -3.3631 -5.6230 4.6795
O 1.2079 -5.0164 0.9458
O -1.6051 -6.3422 1.7895
O 1.8255 -6.3477 3.8509
O -1.0059 -7.6786 4.9360
O 2.5017 -7.7361 0.9859
O -0.3114 -9.0618 1.8296
Pr -0.2270 -0.0639 2.9895
Pr -2.7311 -1.3027 -0.2352
Pr 1.6536 -4.0170 3.0478
Pr -0.8506 -5.2558 -0.1769
Tl 0.2869 -2.1996 5.9786
Tl -2.2192 -3.4390 2.7785
Tl 0.0640 -7.2004 2.8468
Tl -2.4421 -8.4398 -0.3534
```

***

(11)
Compound: Cs2ReS4
Source: OQMD
Functional: PBE
Structure: relaxed

Total moment (μB per cell): 1.998
Total DFT energy (no corrections) (eV/cell): -70.52
Volume (A^3/atom): 36.839

The structure in extended XYZ format:
```
14
Lattice="0.1569 -8.9494 0.9545 -7.2964 -4.3350 2.9996 -4.7581 -5.2068 -5.5925" Properties=species:S:1:pos:R:3 pbc="T T T"
Cs -1.4872 -2.3114 -0.2048
Cs -5.1354 -4.4789 1.2950
Cs -1.4087 -6.7861 0.2724
Cs -3.8663 -4.9148 -3.0011
Re -5.9488 -9.2456 -0.8192
Re -8.9232 -13.8684 -1.2288
S -4.7050 -10.9642 -0.2774
S -4.7673 -7.4093 -0.6565
S -7.6656 -9.1313 0.5350
S -8.2147 -13.6364 0.8299
S -6.6573 -9.4776 -2.8780
S -7.2064 -13.9827 -2.5830
S -10.1670 -12.1498 -1.7707
S -10.1047 -15.7047 -1.3915
```

***

(12)
Compound: Er3TmIn2C2
Source: OQMD
Functional: PBE
Structure: relaxed

Total moment (μB per cell): 0.082
Total DFT energy (no corrections) (eV/cell): -45.51
Volume (A^3/atom): 22.172

The structure in extended XYZ format:
```
8
Lattice="-0.3191 3.5100 -0.5099 -2.6223 -2.1907 -1.0032 -6.8209 1.4956 14.5629" Properties=species:S:1:pos:R:3 pbc="T T T"
C -1.8578 -0.2897 -0.8317
C -5.2643 0.4572 6.4412
Er -2.8458 0.6240 6.0758
Er -5.0603 2.4810 7.8092
Er -7.3485 2.9827 12.6944
In -2.7870 1.9826 2.9556
In -5.1168 1.1219 10.9245
Tm -0.5622 0.1233 1.2004
```

***

(13)
Compound: AgTe2O4
Source: OQMD
Functional: PBE
Structure: relaxed

Total DFT energy (no corrections) (eV/cell): -64.27
Volume (A^3/atom): 16.398

The structure in extended XYZ format:
```
14
Lattice="-4.3447 2.8806 -4.4787 6.7592 1.1017 -0.5769 -2.6076 -6.1913 -1.4495" Properties=species:S:1:pos:R:3 pbc="T T T"
Ag 0.0000 0.0000 0.0000
Ag -0.5308 1.1634 -4.0098
O -2.2133 -0.4469 -3.4120
O 3.5109 -1.0523 -1.8218
O 1.6479 0.1822 -3.7422
O 0.1933 -1.9267 -1.4253
O -3.3317 -3.1012 -4.0340
O 1.9729 -4.1084 -2.2939
O 0.1098 -2.8740 -4.2143
O -0.9251 -4.5810 -2.0473
Te 3.1142 1.1326 -2.2934
Te 1.8104 -1.9631 -3.0181
Te -1.5692 -2.5140 -2.7296
Te -3.7415 -1.0737 -4.9690
```

***

(14)
Compound: TmLu3Pb2C2
Source: OQMD
Functional: PBE
Structure: relaxed

Total moment (μB per cell): 0.014
Total DFT energy (no corrections) (eV/cell): -48.32
Volume (A^3/atom): 21.580

The structure in extended XYZ format:
```
8
Lattice="-0.4066 -0.7430 -3.4611 2.0458 -2.0843 2.0413 -12.4666 -8.9254 3.3806" Properties=species:S:1:pos:R:3 pbc="T T T"
C 1.2168 -1.6455 0.2103
C -5.0039 -6.0991 1.8972
Lu -0.6107 -1.9215 -1.3500
Lu -4.8072 -4.9260 -0.2120
Lu -7.2476 -5.1889 1.9653
Pb -3.1191 -2.2331 0.8458
Pb -8.9281 -7.8763 0.9055
Tm -11.4440 -8.1932 3.1033
```

***

(15)
Compound: Cs2Te3Pd2
Source: OQMD
Functional: PBE
Structure: relaxed

Total DFT energy (no corrections) (eV/cell): -23.83
Volume (A^3/atom): 51.412

The structure in extended XYZ format:
```
7
Lattice="4.1386 2.3894 6.0654 -4.1386 2.3894 6.0654 0.0000 -4.7789 6.0654" Properties=species:S:1:pos:R:3 pbc="T T T"
Cs 0.0000 0.0000 0.0000
Cs 0.0000 0.0000 9.0982
Pd 0.0000 0.0000 3.9451
Pd 0.0000 0.0000 14.2513
Te 2.0693 1.1947 3.0327
Te -2.0693 1.1947 3.0327
Te 0.0000 -2.3894 3.0327
```

***

(16)
Compound: Rb2TcO3
Source: OQMD
Functional: PBE
Structure: relaxed

Total moment (μB per cell): 2.002
Total DFT energy (no corrections) (eV/cell): -71.33
Volume (A^3/atom): 23.209

The structure in extended XYZ format:
```
12
Lattice="6.5106 0.0000 0.0000 3.1312 5.7661 0.0000 0.0917 -0.0258 7.4189" Properties=species:S:1:pos:R:3 pbc="T T T"
O 1.5380 1.4918 1.8315
O 3.5653 3.6637 1.8464
O 4.4920 0.6113 1.8906
O 5.2414 5.1290 5.5283
O 6.1681 2.0766 5.5725
O 8.1954 4.2485 5.5874
Rb 0.0000 0.0000 0.0000
Rb 6.4855 3.8007 1.7381
Rb 0.0458 -0.0129 3.7095
Rb 3.2480 1.9396 5.6808
Tc 3.2995 1.9029 1.8946
Tc 6.4339 3.8374 5.5243
```

***

(17)
Compound: PaGeSb
Source: OQMD
Functional: PBE
Structure: relaxed

Total moment (μB per cell): 0.339
Total DFT energy (no corrections) (eV/cell): -18.22
Volume (A^3/atom): 28.579

The structure in extended XYZ format:
```
3
Lattice="0.0000 3.4998 3.4998 3.4998 0.0000 3.4998 3.4998 3.4998 0.0000" Properties=species:S:1:pos:R:3 pbc="T T T"
Ge 1.7499 1.7499 1.7499
Pa 0.0000 0.0000 0.0000
Sb 5.2498 5.2498 5.2498
```

***

(18)
Compound: Sc3Ge2Au4
Source: OQMD
Functional: PBE
Structure: relaxed

Total moment (μB per cell): 0.004
Total DFT energy (no corrections) (eV/cell): -47.55
Volume (A^3/atom): 19.028

The structure in extended XYZ format:
```
9
Lattice="-1.3029 -2.0802 6.6823 -2.5077 -3.8087 -5.4665 3.2738 -2.1231 -0.0226" Properties=species:S:1:pos:R:3 pbc="T T T"
Au -0.3643 -0.5816 1.8684
Au -0.7012 -1.0649 -1.5285
Au -2.7451 -4.2423 0.8758
Au 1.6369 -1.0615 -0.0113
Ge -1.7045 -2.6563 2.6327
Ge -2.1061 -3.2325 -1.4169
Sc 0.8610 -2.3003 3.9680
Sc 0.0955 -3.4436 0.4805
Sc 0.1436 -3.3296 -3.2666
```

***

(19)
Compound: TaTcPO
Source: OQMD
Functional: PBE
Structure: relaxed

Total moment (μB per cell): 0.009
Total DFT energy (no corrections) (eV/cell): -66.71
Volume (A^3/atom): 12.952

The structure in extended XYZ format:
```
8
Lattice="1.1968 0.3181 -3.5886 -1.9640 -3.1125 -0.9309 -5.7199 4.0719 -1.5466" Properties=species:S:1:pos:R:3 pbc="T T T"
O 0.5984 0.1591 -1.7943
O -0.9820 -1.5563 -0.4655
P -1.8108 -0.3812 -2.6457
P -4.2926 3.0558 -1.1607
Ta -2.2615 2.1950 -2.5676
Ta -3.8419 0.4797 -1.2388
Tc -0.9457 0.6732 -0.2557
Tc -5.1578 2.0014 -3.5507
```

***

(20)
Compound: KCoTcAu
Source: OQMD
Functional: PBE
Structure: relaxed

Total moment (μB per cell): 4.002
Total DFT energy (no corrections) (eV/cell): -17.31
Volume (A^3/atom): 18.750

The structure in extended XYZ format:
```
4
Lattice="0.0000 3.3472 3.3472 3.3472 0.0000 3.3472 3.3472 3.3472 0.0000" Properties=species:S:1:pos:R:3 pbc="T T T"
Au 5.0207 5.0207 5.0207
Co 1.6736 1.6736 1.6736
K 0.0000 0.0000 0.0000
Tc 3.3472 3.3472 3.3472
```

***

(21)
Compound: Ba2Ni3Sn2
Source: OQMD
Functional: PBE
Structure: relaxed

Total moment (μB per cell): 0.371
Total DFT energy (no corrections) (eV/cell): -30.56
Volume (A^3/atom): 25.944

The structure in extended XYZ format:
```
7
Lattice="-8.2464 5.1104 5.1104 -5.1104 5.1104 8.2464 -5.1104 8.2464 5.1104" Properties=species:S:1:pos:R:3 pbc="T T T"
Ba -4.6227 4.6227 4.6227
Ba -13.9658 13.9658 13.9658
Ni -6.4134 6.4134 6.4134
Ni -12.2109 12.2109 12.2109
Ni -15.7316 15.7316 15.7316
Sn -0.0774 0.0774 0.0774
Sn -9.3051 9.3051 9.3051
```

***

(22)
Compound: PrInGeAu2
Source: OQMD
Functional: PBE
Structure: relaxed

Total moment (μB per cell): 0.014
Total DFT energy (no corrections) (eV/cell): -43.33
Volume (A^3/atom): 22.457

The structure in extended XYZ format:
```
10
Lattice="4.4422 0.0000 0.0000 0.0000 4.4422 0.0000 0.0000 0.0000 11.3801" Properties=species:S:1:pos:R:3 pbc="T T T"
Au 0.0000 0.0000 0.0000
Au 2.2211 2.2211 0.0000
Au 0.0000 2.2211 3.9517
Au 2.2211 0.0000 7.4284
Ge 0.0000 2.2211 1.4651
Ge 2.2211 0.0000 9.9150
In 0.0000 0.0000 5.6901
In 2.2211 2.2211 5.6901
Pr 2.2211 0.0000 2.5582
Pr 0.0000 2.2211 8.8219
```

***

(23)
Compound: NdFe2SnSb
Source: OQMD
Functional: PBE
Structure: relaxed

Total moment (μB per cell): 7.227
Total DFT energy (no corrections) (eV/cell): -61.08
Volume (A^3/atom): 20.254

The structure in extended XYZ format:
```
10
Lattice="4.3378 0.0000 0.0000 0.0000 4.3378 0.0000 0.0000 0.0000 10.7637" Properties=species:S:1:pos:R:3 pbc="T T T"
Fe 0.0000 0.0000 0.0000
Fe 2.1689 2.1689 0.0000
Fe 2.1689 0.0000 3.9797
Fe 0.0000 2.1689 6.7840
Nd 0.0000 2.1689 2.7423
Nd 2.1689 0.0000 8.0214
Sb 2.1689 0.0000 1.4999
Sb 0.0000 2.1689 9.2638
Sn 0.0000 0.0000 5.3818
Sn 2.1689 2.1689 5.3818
```

***

(24)
Compound: TbNpSc
Source: OQMD
Functional: PBE
Structure: relaxed

ΔE_f (eV/atom): 1.0791
Total moment (μB per cell): 5.611
Volume (A^3/atom): 31.585

The structure in extended XYZ format:
```
3
Lattice="0.0000 3.6184 3.6184 3.6184 0.0000 3.6184 3.6184 3.6184 0.0000" Properties=species:S:1:pos:R:3 pbc="T T T"
Np 1.8092 1.8092 1.8092
Sc 0.0000 0.0000 0.0000
Tb 5.4277 5.4277 5.4277
```